Record 1
Crystalline K2AlAuBr6 at its relaxed geometry. Source: Alexandria via LeMat-Bulk, functional GGA-PBE.

Summary:
As for the symmetry: Fm-3m, No. 225. The electronic total energy is -2.97 eV per atom. As for the crystal system: cubic. The uncorrected formation energy comes out at -1.043 eV/atom.

a b c (Å): 7.600 7.600 7.600
angles (deg): 60.00 60.00 60.00
Fractional coordinates of all 10 atoms:
K  0.250  0.250  0.250
K  0.750  0.750  0.750
Al  0.000  0.000  0.000
Au  0.500  0.500  0.500
Br  0.237  0.237  0.763
Br  0.237  0.763  0.237
Br  0.237  0.763  0.763
Br  0.763  0.237  0.237
Br  0.763  0.237  0.763
Br  0.763  0.763  0.237



Record 2
Crystalline AlOsAu2Br at its relaxed geometry. Source: Alexandria via LeMat-Bulk, functional GGA-PBE.

Summary:
As for the symmetry: P4/mmm, No. 123. The electronic total energy is -2.80 eV per atom. As for the crystal system: tetragonal. The uncorrected formation energy comes out at 1.845 eV/atom.

a b c (Å): 4.914 4.914 4.960
angles (deg): 90.00 90.00 90.00
Fractional coordinates of all 5 atoms:
Al  0.000  0.000  0.000
Os  0.500  0.500  0.000
Au  0.000  0.500  0.500
Au  0.500  0.000  0.500
Br  0.000  0.000  0.500



Please write out number 2 again, unchanged.
Crystalline AlOsAu2Br at its relaxed geometry. Source: Alexandria via LeMat-Bulk, functional GGA-PBE.

Summary:
As for the symmetry: P4/mmm, No. 123. The electronic total energy is -2.80 eV per atom. As for the crystal system: tetragonal. The uncorrected formation energy comes out at 1.845 eV/atom.

a b c (Å): 4.914 4.914 4.960
angles (deg): 90.00 90.00 90.00
Fractional coordinates of all 5 atoms:
Al  0.000  0.000  0.000
Os  0.500  0.500  0.000
Au  0.000  0.500  0.500
Au  0.500  0.000  0.500
Br  0.000  0.000  0.500